[1]
# ZnS2N (PBE, optimized geometry)
# **M_tot**: 0.00 Bohr magnetons per cell
# **ΔE to the lowest computed polymorph**: 0 meV/atom
# **Fermi-level density of states**: 4.2 states/eV per cell
# **Formation energy without anion corrections**: 0.37 eV per atom
# **Energy**: -4.10 eV/atom
# **Calculated density**: 3.303 g cm⁻³
data_ZnS2N
_chemical_formula_sum 'Zn3 S6 N3'
_space_group_name_H-M_alt 'R -3 m'
_space_group_IT_number 166
_space_group_name_Hall '-R 3 2"'
_cell_length_a 3.8291
_cell_length_b 3.8291
_cell_length_c 17.0518
_cell_angle_alpha 90.00
_cell_angle_beta 90.00
_cell_angle_gamma 120.00
loop_
_atom_site_label
_atom_site_fract_x
_atom_site_fract_y
_atom_site_fract_z
_atom_site_occupancy
Zn1 0.0000 0.0000 0.0000 1
S1 0.0000 0.0000 0.4084 1
N1 0.0000 0.0000 0.5000 1



[2]
# ZnSN2 (PBE, optimized geometry)
# **M_tot**: 0.00 Bohr magnetons per cell
# **ΔE to the lowest computed polymorph**: 1094 meV/atom
# **Fermi-level density of states**: 6.1 states/eV per cell
# **Formation energy without anion corrections**: 1.89 eV per atom
# **Energy**: -3.62 eV/atom
# **Calculated density**: 5.096 g cm⁻³
data_ZnSN2
_chemical_formula_sum 'Zn4 S4 N8'
_space_group_name_H-M_alt 'F m -3 m'
_space_group_IT_number 225
_space_group_name_Hall '-F 4 2 3'
_cell_length_a 5.4687
_cell_length_b 5.4687
_cell_length_c 5.4687
_cell_angle_alpha 90.00
_cell_angle_beta 90.00
_cell_angle_gamma 90.00
loop_
_atom_site_label
_atom_site_fract_x
_atom_site_fract_y
_atom_site_fract_z
_atom_site_occupancy
Zn1 0.0000 0.0000 0.0000 1
S1 0.0000 0.0000 0.5000 1
N1 0.2500 0.2500 0.2500 1



[3]
# Zn3SN (PBE, optimized geometry)
# **M_tot**: 0.00 Bohr magnetons per cell
# **ΔE to the lowest computed polymorph**: 275 meV/atom
# **Fermi-level density of states**: 2.1 states/eV per cell
# **Formation energy without anion corrections**: 0.17 eV per atom
# **Energy**: -3.09 eV/atom
# **Calculated density**: 5.444 g cm⁻³
data_Zn3SN
_chemical_formula_sum 'Zn3 S1 N1'
_space_group_name_H-M_alt 'P m -3 m'
_space_group_IT_number 221
_space_group_name_Hall '-P 4 2 3'
_cell_length_a 4.1966
_cell_length_b 4.1966
_cell_length_c 4.1966
_cell_angle_alpha 90.00
_cell_angle_beta 90.00
_cell_angle_gamma 90.00
loop_
_atom_site_label
_atom_site_fract_x
_atom_site_fract_y
_atom_site_fract_z
_atom_site_occupancy
Zn1 0.0000 0.0000 0.5000 1
S1 0.5000 0.5000 0.5000 1
N1 0.0000 0.0000 0.0000 1



[4]
# ZnSN2 (PBE, optimized geometry)
# **M_tot**: 0.00 Bohr magnetons per cell
# **ΔE to the lowest computed polymorph**: 345 meV/atom
# **Fermi-level density of states**: 3.6 states/eV per cell
# **Formation energy without anion corrections**: 1.14 eV per atom
# **Energy**: -4.37 eV/atom
# **Calculated density**: 4.472 g cm⁻³
data_ZnSN2
_chemical_formula_sum 'Zn3 S3 N6'
_space_group_name_H-M_alt 'R -3 m'
_space_group_IT_number 166
_space_group_name_Hall '-R 3 2"'
_cell_length_a 3.0569
_cell_length_b 3.0569
_cell_length_c 17.2736
_cell_angle_alpha 90.00
_cell_angle_beta 90.00
_cell_angle_gamma 120.00
loop_
_atom_site_label
_atom_site_fract_x
_atom_site_fract_y
_atom_site_fract_z
_atom_site_occupancy
Zn1 0.0000 0.0000 0.0000 1
S1 0.0000 0.0000 0.5000 1
N1 0.0000 0.0000 0.1077 1